! TbHo2I | Alexandria via LeMat-Bulk | PBE-GGA | relaxed; values from VASP
! Density of states at the Fermi level ... 4.505 states/eV/f.u.
! Raw formation energy ... -0.333 eV/atom
! Space group ... R-3m, No. 166
! E above lowest polymorph ... 0.0 meV per atom
&SYSTEM
  ibrav = 0, nat = 4, ntyp = 3
/
ATOMIC_SPECIES
Ho 164.93 Ho.upf
Tb 158.93 Tb.upf
I 126.90 I.upf
ATOMIC_POSITIONS crystal
Ho 0.7457 0.7457 0.7630
Ho 0.2543 0.2543 0.2370
Tb 0.5000 0.5000 0.5000
I 0.0000 0.0000 0.0000
CELL_PARAMETERS angstrom
-2.3834 -0.3086 2.8431
0.8184 -2.2074 2.8838
4.1565 7.1525 6.6981